# 1
PBE-GGA TaCoHg2, optimized geometry; DOS(E_F) = 4.1 states/eV/cell; space-group type = Pmmm (47)
1.0
4.0953 0.0000 0.0000
0.0000 4.1083 0.0000
0.0000 0.0000 4.2468
Ta Co Hg
1 1 2
direct
0.0000 0.0000 0.0000
0.5000 0.5000 0.0000
0.0000 0.5000 0.5000
0.5000 0.0000 0.5000


# 2
PBE-GGA TaCoHg, optimized geometry; DOS(E_F) = 3.4 states/eV/cell; energy above the most stable polymorph in this dataset = 0.54 eV per formula unit; space-group type = P3m1 (156)
1.0
4.4580 0.0000 0.0000
-2.2290 3.8608 0.0000
0.0000 0.0000 2.8350
Ta Co Hg
1 1 1
direct
0.0000 0.0000 0.0000
0.6667 0.3333 0.3348
0.3333 0.6667 0.5080


# 3
PBE-GGA TaCoHg2, optimized geometry; DOS(E_F) = 4.8 states/eV/cell; space-group type = Pmmm (47)
1.0
2.9182 0.0000 0.0000
0.0000 4.0872 0.0000
0.0000 0.0000 5.9419
Ta Co Hg
1 1 2
direct
0.0000 0.0000 0.0000
0.0000 0.0000 0.5000
0.5000 0.5000 0.2620
0.5000 0.5000 0.7380


# 4
PBE-GGA TaCoHg2, optimized geometry; DOS(E_F) = 16.5 states/eV/cell; space-group type = I-42d (122)
1.0
-3.7154 3.7154 2.7779
3.7154 -3.7154 2.7779
3.7154 3.7154 -2.7779
Ta Co Hg
2 2 4
direct
0.0000 0.0000 0.0000
0.7500 0.2500 0.5000
0.2500 0.7500 0.5000
0.5000 0.5000 0.0000
0.1513 0.6250 0.0263
0.3750 0.4013 0.5263
0.5987 0.1250 0.9737
0.8750 0.8487 0.4737


# 5
PBE-GGA TaCoHg2, optimized geometry; DOS(E_F) = 2.8 states/eV/cell; space-group type = Imm2 (44)
1.0
-1.5429 2.3759 5.0078
1.5429 -2.3759 5.0078
1.5429 2.3759 -5.0078
Ta Co Hg
1 1 2
direct
0.0000 0.0000 0.0000
0.1803 0.6803 0.5000
0.4218 0.4218 0.0000
0.7149 0.2149 0.5000


# 6
PBE-GGA TaCoHg, optimized geometry; DOS(E_F) = 4.2 states/eV/cell; energy above the most stable polymorph in this dataset = 0.83 eV per formula unit; space-group type = F-43m (216)
1.0
0.0000 3.0017 3.0017
3.0017 0.0000 3.0017
3.0017 3.0017 0.0000
Ta Co Hg
1 1 1
direct
0.0000 0.0000 0.0000
0.7500 0.7500 0.7500
0.5000 0.5000 0.5000


# 7
PBE-GGA TaCoHg2, optimized geometry; DOS(E_F) = 3.2 states/eV/cell; space-group type = I-4m2 (119)
1.0
-2.1358 2.1358 3.8228
2.1358 -2.1358 3.8228
2.1358 2.1358 -3.8228
Ta Co Hg
1 1 2
direct
0.0000 0.0000 0.0000
0.2500 0.7500 0.5000
0.5000 0.5000 0.0000
0.7500 0.2500 0.5000


# 8
PBE-GGA TaCoHg2, optimized geometry; DOS(E_F) = 4.5 states/eV/cell; space-group type = Cmmm (65)
1.0
2.9310 -4.3631 0.0000
2.9310 4.3631 0.0000
0.0000 0.0000 2.8348
Ta Co Hg
1 1 2
direct
0.0000 0.0000 0.0000
0.5000 0.5000 0.0000
0.0000 0.5000 0.5000
0.5000 0.0000 0.5000


# 9
PBE-GGA TaCoHg2, optimized geometry; DOS(E_F) = 3.3 states/eV/cell; space-group type = C2/m (12)
1.0
4.8416 -1.5151 0.0000
4.8416 1.5151 0.0000
-1.2803 0.0000 4.8593
Ta Co Hg
1 1 2
direct
0.0000 0.0000 0.0000
0.5000 0.5000 0.5000
0.2367 0.2367 0.7378
0.7633 0.7633 0.2622


# 10
PBE-GGA TaCoHg2, optimized geometry; DOS(E_F) = 2.5 states/eV/cell; space-group type = Cm (8)
1.0
4.7542 -1.5655 0.0000
4.7542 1.5655 0.0000
-1.4930 0.0000 4.9061
Ta Co Hg
1 1 2
direct
0.0000 0.0000 0.0000
0.6983 0.6983 0.1530
0.2270 0.2270 0.7183
0.4500 0.4500 0.4451


# 11
PBE-GGA TaCoHg, optimized geometry; DOS(E_F) = 3.1 states/eV/cell; energy above the most stable polymorph in this dataset = 2.19 eV per formula unit; space-group type = F-43m (216)
1.0
0.0000 3.0894 3.0894
3.0894 0.0000 3.0894
3.0894 3.0894 0.0000
Ta Co Hg
1 1 1
direct
0.0000 0.0000 0.0000
0.2500 0.2500 0.2500
0.7500 0.7500 0.7500


# 12
PBE-GGA TaCoHg, optimized geometry; DOS(E_F) = 3.0 states/eV/cell; energy above the most stable polymorph in this dataset = 0.00 eV per formula unit; space-group type = I4mm (107)
1.0
-1.4920 1.4920 5.5728
1.4920 -1.4920 5.5728
1.4920 1.4920 -5.5728
Ta Co Hg
1 1 1
direct
0.0000 0.0000 0.0000
0.3731 0.3731 0.0000
0.7027 0.7027 0.0000


Number 1: calculated total energy -17.3 eV/cell, formation energy 54 kJ per mole of atoms. Number 2: calculated total energy -18.2 eV/cell, formation energy 36 kJ per mole of atoms. Number 3: calculated total energy -17.4 eV/cell, formation energy 53 kJ per mole of atoms. Number 4: calculated total energy -32.2 eV/cell, formation energy 83 kJ per mole of atoms. Number 5: calculated total energy -17.9 eV/cell, formation energy 40 kJ per mole of atoms. Number 6: calculated total energy -17.9 eV/cell, formation energy 45 kJ per mole of atoms. Number 7: calculated total energy -17.4 eV/cell, formation energy 53 kJ per mole of atoms. Number 8: calculated total energy -17.3 eV/cell, formation energy 55 kJ per mole of atoms. Number 9: calculated total energy -17.4 eV/cell, formation energy 51 kJ per mole of atoms. Number 10: calculated total energy -17.9 eV/cell, formation energy 40 kJ per mole of atoms. Number 11: calculated total energy -16.5 eV/cell, formation energy 89 kJ per mole of atoms. Number 12: calculated total energy -18.7 eV/cell, formation energy 18 kJ per mole of atoms.